Compound: Li3Cr3FeO8
Source: the Alexandria database
Functional: PBE+U
Structure: optimized geometry

Cell lengths 5.8904, 5.9330, 8.3634 Å; angles 90.02, 90.61, 90.03 degrees
With the nearest neighbours (Å) after each atom.
Space group P-1 (No. 2)
One atom of each set of equivalent atoms:
Li1 0.0000 0.0000 0.0000 [1 per cell]  6 O 2.16-2.17
Li2 0.2490 0.7485 0.7478 [2 per cell]  6 O 2.15-2.18
Li3 0.2495 0.2503 0.7496 [2 per cell]  6 O 2.15-2.17
Li4 0.5000 0.5000 0.5000 [1 per cell]  6 O 2.16-2.17
Cr1 0.0000 0.0000 0.5000 [1 per cell]  6 O 2.03
Cr2 0.2492 0.2504 0.2497 [2 per cell]  6 O 2.02-2.03
Cr3 0.2495 0.7496 0.2509 [2 per cell]  6 O 2.02-2.04
Cr4 0.5000 0.5000 0.0000 [1 per cell]  6 O 2.03
Fe1 0.0000 0.5000 0.0000 [1 per cell]  6 O 1.92-1.94
Fe2 0.5000 0.0000 0.5000 [1 per cell]  6 O 1.93-1.95
O1 0.0156 0.9998 0.2579 [2 per cell]  3 Cr 2.03, 3 Li 2.15-2.16
O2 0.0162 0.4998 0.2324 [2 per cell]  1 Fe 1.94, 2 Cr 2.02-2.03, 2 Li 2.15-2.16
O3 0.2376 0.7217 0.0077 [2 per cell]  1 Fe 1.92, 2 Cr 2.03-2.04
O4 0.2393 0.2768 0.0078 [2 per cell]  1 Fe 1.94, 2 Cr 2.03, 2 Li 2.16-2.17
O5 0.2592 0.7757 0.4919 [2 per cell]  1 Fe 1.95, 2 Cr 2.02-2.03, 2 Li 2.15-2.17
O6 0.2620 0.2227 0.4919 [2 per cell]  1 Fe 1.93, 2 Cr 2.03
O7 0.4841 0.0004 0.2696 [2 per cell]  1 Fe 1.93, 2 Cr 2.03
O8 0.4842 0.5001 0.2420 [2 per cell]  3 Cr 2.03, 3 Li 2.16

- Spin magnetization: 11.000 μB/f.u.
- Energy: -6.74 eV per atom